(1)
Material: Al2TlHCl
Method: DFT, GGA-PBE
State: relaxed

Output
VASP energy = -2.81 eV/atom

Cell lengths 4.1675, 6.0793, 4.1675 Å; angles 90.00, 90.00, 90.00 degrees
Last column: nearest neighbours and their distance in Å.
Element x y z (fractional)
H (0.0000, 0.0000, 0.0000)  4 Al 2.08
Tl (0.0000, 0.5000, 0.0000)  4 Cl 2.95, 2 H 3.04
Al (0.0000, 0.0000, 0.5000)  2 H 2.08
Al (0.5000, 0.0000, 0.0000)  2 H 2.08
Cl (0.5000, 0.5000, 0.5000)  4 Tl 2.95

---

(2)
Material: Zr2MnAgCl
Method: DFT, GGA-PBE
State: relaxed

Output
formation energy from raw total energies = 1.231 eV per atom

Cell lengths 5.3212, 4.8325, 5.3212 Å; angles 90.00, 90.00, 90.00 degrees
Last column: nearest neighbours and their distance in Å.
Element x y z (fractional)
Mn (0.5000, 0.5000, 0.5000)  8 Zr 3.59, 4 Cl 3.76
Zr (0.0000, 0.0000, 0.5000)  2 Ag 2.66
Zr (0.5000, 0.0000, 0.0000)  2 Ag 2.66
Ag (0.0000, 0.0000, 0.0000)  2 Cl 2.42, 4 Zr 2.66
Cl (0.0000, 0.5000, 0.0000)  2 Ag 2.42

---

(3)
Material: NaZrAl
Method: DFT, GGA-PBE
State: relaxed

Output
energy relative to the lowest polymorph listed for this composition = 0.062 eV/atom
energy of formation = -0.0284 eV/atom

Cell lengths 3.0028, 5.0816, 8.7008 Å; angles 90.00, 99.94, 90.00 degrees
Last column: nearest neighbours and their distance in Å.
Element x y z (fractional)
Na (0.2330, 0.2500, 0.9618)  6 Na 3.00-3.03, 2 Al 3.31-3.32, 2 Zr 3.35-3.36
Na (0.7670, 0.7500, 0.0382)  6 Na 3.00-3.03, 2 Al 3.31-3.32, 2 Zr 3.35-3.36
Al (0.9012, 0.2500, 0.3070)  6 Zr 3.00-3.04, 2 Al 3.00, 2 Na 3.31-3.32
Al (0.0988, 0.7500, 0.6930)  6 Zr 3.00-3.04, 2 Al 3.00, 2 Na 3.31-3.32
Zr (0.5630, 0.2500, 0.6117)  6 Al 3.00-3.04, 4 Zr 3.00-3.18, 1 Na 3.35
Zr (0.4370, 0.7500, 0.3883)  6 Al 3.00-3.04, 4 Zr 3.00-3.18, 1 Na 3.35

---

Number 1: DOS at the Fermi energy 2.18 states/eV/cell. Number 2: DOS at the Fermi energy 6.03 states/eV/cell. Number 3: DOS at the Fermi energy 5.55 states/eV/cell.